KGeAs2: optimized geometry, PBE.

Its space-group type is No. 166. The value obtained for the formation energy is 8 meV per atom. As for the total energy: -44.9 eV per cell. The calculation puts the mass density at 4.35 g cm⁻³.

abc: 3.710 3.710 25.134
angles: 90.00 90.00 120.00
Fractional coordinates of all 12 atoms:
K (0.000, 0.000, 0.000)
K (0.333, 0.667, 0.667)
K (0.667, 0.333, 0.333)
Ge (0.000, 0.000, 0.500)
Ge (0.333, 0.667, 0.167)
Ge (0.667, 0.333, 0.833)
As (0.000, 0.000, 0.228)
As (0.000, 0.000, 0.772)
As (0.333, 0.667, 0.438)
As (0.333, 0.667, 0.895)
As (0.667, 0.333, 0.105)
As (0.667, 0.333, 0.562)

Zr2Tl3PdS6: optimized geometry, PBE.

Its space-group type is No. 12. As for the total energy: -64.5 eV per cell. The uncorrected formation energy comes out at -0.87 eV per atom. The calculation puts the mass density at 6.49 g cm⁻³.

abc: 6.535 6.535 7.858
angles: 97.41 97.41 120.27
Fractional coordinates of all 12 atoms:
Zr (0.169, 0.831, 0.000)
Zr (0.831, 0.169, 0.000)
Tl (0.000, 0.000, 0.500)
Tl (0.339, 0.661, 0.500)
Tl (0.661, 0.339, 0.500)
Pd (0.500, 0.500, 0.000)
S (0.086, 0.434, 0.802)
S (0.228, 0.228, 0.180)
S (0.434, 0.086, 0.802)
S (0.566, 0.914, 0.198)
S (0.772, 0.772, 0.820)
S (0.914, 0.566, 0.198)